VASP calculation (GGA-PBE) on a geometry-optimized Ce2Pu5Ir4 structure.

a b c (Å): 10.415 10.415 7.749
angles (deg): 99.11 99.11 16.67
Element x y z (fractional)
Ce 0.189 0.189 0.228
Ce 0.811 0.811 0.772
Pu 0.000 0.000 0.500
Pu 0.063 0.063 0.914
Pu 0.161 0.161 0.567
Pu 0.839 0.839 0.433
Pu 0.937 0.937 0.086
Ir 0.309 0.309 0.107
Ir 0.436 0.436 0.746
Ir 0.564 0.564 0.254
Ir 0.691 0.691 0.893

Results
N(E_F), states/eV/f.u.: 30.707
Space group: No. 12
Raw total energy, eV per atom: -11.0833
Magnetic moment, μB/f.u.: 5.5
ΔE_f, meV/atom: -268